{
  "formula": "Ac2Sb3Au5",
  "functional": "GGA-PBE",
  "state": "relaxed",
  "cell": [[-4.476, 3.559, 3.931], [2.662, 0.155, 9.015], [3.362, 8.479, 2.277]],
  "species": ["Ac", "Ac", "Ac", "Ac", "Sb", "Sb", "Sb", "Sb", "Sb", "Sb", "Au", "Au", "Au", "Au", "Au", "Au", "Au", "Au", "Au", "Au"],
  "frac_coords": [[0.135, 0.631, 0.100], [0.635, 0.100, 0.631], [0.865, 0.369, 0.900], [0.365, 0.900, 0.369], [0.384, 0.473, 0.759], [0.884, 0.759, 0.473], [0.616, 0.527, 0.241], [0.116, 0.241, 0.527], [0.250, 0.000, 0.000], [0.750, 0.000, 0.000], [0.363, 0.246, 0.029], [0.863, 0.029, 0.246], [0.637, 0.754, 0.971], [0.137, 0.971, 0.754], [0.522, 0.728, 0.728], [0.478, 0.272, 0.272], [0.750, 0.500, 0.500], [0.250, 0.500, 0.500], [0.978, 0.272, 0.272], [0.022, 0.728, 0.728]],
  "total_energy_ev_per_cell": -85.9,
  "e_form_raw_ev_per_atom": -0.5975,
  "crystal_system": "orthorhombic",
  "sg": "Ibam (72)",
  "m_tot_mub_per_fu": 0.0
}